This record from the Alexandria database describes a relaxed structure of SiIrW2. The functional is GGA-PBE.

Lattice parameters (Å, degrees): 3.368 4.132 4.281 90.00 90.00 90.00
Positions (direct):
W  0.500  0.500  0.000
W  0.000  0.000  0.000
Si  0.000  0.500  0.500
Ir  0.500  0.000  0.500

Results
The value obtained for the formation energy from raw total energies is 0 meV/atom. The calculation puts the volume at 60 Å³/cell.